First-principles (PBE-GGA) data for crystalline LaLu3Cl at its relaxed geometry, as listed in OQMD via LeMat-Bulk.

The value obtained for the total DFT energy (no corrections) is -4.411 eV per atom.

The structure belongs to space group Cmcm (No. 63); the cell edges are 5.756, 15.604 and 7.154 Å and the angles 90.00°, 90.00° and 90.00°. Symmetry generates all atoms from La at (0.000, 0.100, 0.250), Lu at (0.000, 0.136, 0.750), Lu at (0.000, 0.304, 0.014) and Cl at (0.000, 0.431, 0.750).



First-principles (PBE-GGA) data for crystalline LaNdNCl at its relaxed geometry, as listed in OQMD via LeMat-Bulk.

The relative energy among the computed polymorphs comes out at 2 meV/atom.

The structure belongs to space group P-3m1 (No. 164); the cell edges are 3.7004, 3.7004 and 14.3270 Å and the angles 90.00°, 90.00° and 120.00°. Symmetry generates all atoms from La at (0.3333, 0.6667, 0.0964), Nd at (0.3333, 0.6667, 0.4079), N at (0.0000, 0.0000, 0.0000), N at (0.0000, 0.0000, 0.5000) and Cl at (0.3333, 0.6667, 0.7428).



First-principles (PBE-GGA) data for crystalline LaNd3N2Cl2 at its relaxed geometry, as listed in OQMD via LeMat-Bulk.

The value obtained for the total DFT energy (no corrections) is -6.513 eV per atom.

The structure belongs to space group P3m1 (No. 156); the cell edges are 3.6814, 3.6814 and 14.2436 Å and the angles 90.00°, 90.00° and 120.00°. Symmetry generates all atoms from La at (0.0000, 0.0000, 0.0000), Nd at (0.0000, 0.0000, 0.3135), Nd at (0.3333, 0.6667, 0.4998), Nd at (0.3333, 0.6667, 0.8093), N at (0.6667, 0.3333, 0.4068), N at (0.6667, 0.3333, 0.9005), Cl at (0.0000, 0.0000, 0.6544) and Cl at (0.3333, 0.6667, 0.1618).



First-principles (PBE-GGA) data for crystalline LaNdNCl at its relaxed geometry, as listed in OQMD via LeMat-Bulk.

The relative energy among the computed polymorphs comes out at 0 meV/atom.

The structure belongs to space group P-6m2 (No. 187); the cell edges are 3.7042, 3.7042 and 14.2932 Å and the angles 90.00°, 90.00° and 120.00°. Symmetry generates all atoms from La at (0.0000, 0.0000, 0.1575), Nd at (0.3333, 0.6667, 0.3465), N at (0.6667, 0.3333, 0.2565), Cl at (0.0000, 0.0000, 0.5000) and Cl at (0.3333, 0.6667, 0.0000).



First-principles (PBE-GGA) data for crystalline LaPr3N2Cl2 at its relaxed geometry, as listed in OQMD via LeMat-Bulk.

The value obtained for the total DFT energy (no corrections) is -6.504 eV per atom.

The structure belongs to space group P3m1 (No. 156); the cell edges are 3.7092, 3.7092 and 14.2871 Å and the angles 90.00°, 90.00° and 120.00°. Symmetry generates all atoms from La at (0.0000, 0.0000, 0.0000), Pr at (0.0000, 0.0000, 0.6887), Pr at (0.3333, 0.6667, 0.1905), Pr at (0.3333, 0.6667, 0.5006), N at (0.6667, 0.3333, 0.0959), N at (0.6667, 0.3333, 0.5942), Cl at (0.0000, 0.0000, 0.3453) and Cl at (0.3333, 0.6667, 0.8407).



First-principles (PBE-GGA) data for crystalline La2Pr2N2Cl5 at its relaxed geometry, as listed in OQMD via LeMat-Bulk.

The value obtained for the total DFT energy (no corrections) is -5.900 eV per atom.

The structure belongs to space group Immm (No. 71); the cell edges are 3.712, 8.026 and 17.071 Å and the angles 90.00°, 90.00° and 90.00°. Symmetry generates all atoms from La at (0.000, 0.000, 0.179), Pr at (0.000, 0.293, 0.500), N at (0.000, 0.000, 0.041), Cl at (0.000, 0.211, 0.335) and Cl at (0.000, 0.500, 0.000).